A geometry-optimized Mg2Si2Ru structure, computed with PBE-GGA.

Geometry as CIF:
```
data_Mg2Si2Ru
_chemical_formula_sum 'Mg4 Si4 Ru2'
_symmetry_space_group_name_H-M 'I 4/m m m'
_symmetry_Int_Tables_number 139
_symmetry_space_group_name_Hall '-I 4 2'
_cell_length_a 3.6550
_cell_length_b 3.6550
_cell_length_c 12.2437
_cell_angle_alpha 90.00
_cell_angle_beta 90.00
_cell_angle_gamma 90.00
loop_
_atom_site_label
_atom_site_type_symbol
_atom_site_fract_x
_atom_site_fract_y
_atom_site_fract_z
_atom_site_occupancy
Mg1 Mg 0.0000 0.5000 0.2500 1
Si1 Si 0.0000 0.0000 0.0919 1
Ru1 Ru 0.0000 0.0000 0.5000 1
```

Properties
crystal system = tetragonal
D(E_F) = 0.56 states/eV/f.u.
raw total energy = -0.310 Ry per atom